[1]
Entry from Alexandria: ScTeAs2 after structural relaxation (PBE-GGA).

Cell: 5.8498 5.8498 5.8498 Å, 138.74 138.32 60.10°
Fractional positions:
As 0.4990 0.4990 0.0000
Te 0.7500 0.2500 0.5000
Sc 0.2500 0.7500 0.5000
As 0.0010 0.0010 0.0000

Calculated values
Volume   21.7 Å³ per atom
Fermi-level density of states   2.82 states/eV/cell
M_tot   0.00 μB/f.u.
Total energy   -19.995 eV for the cell shown
Formation energy (no corrections)   -306 meV per atom

---

[2]
Entry from Alexandria: Sc3Te3As after structural relaxation (PBE-GGA).

Cell: 4.0152 8.2188 11.4388 Å, 89.70 90.00 90.00°
Fractional positions:
Sc 0.7500 0.1100 0.3796
Te 0.2500 0.3758 0.3720
Sc 0.2500 0.8741 0.1316
Sc 0.7500 0.6475 0.3714
As 0.2500 0.8794 0.3785
Te 0.2500 0.8665 0.8730
Te 0.2500 0.3762 0.8737
Te 0.7500 0.6238 0.1263
Te 0.7500 0.6242 0.6280
Te 0.7500 0.1335 0.1270
As 0.7500 0.1206 0.6215
Sc 0.2500 0.8900 0.6204
Sc 0.7500 0.1259 0.8684
Sc 0.2500 0.3525 0.6286

Calculated values
Volume   27.0 Å³ per atom
Fermi-level density of states   3.44 states/eV/cell
M_tot   0.00 μB/f.u.
Total energy   -83.346 eV for the cell shown
Formation energy (no corrections)   -1229 meV per atom

---

[3]
Entry from Alexandria: Sc4TeAs3 after structural relaxation (PBE-GGA).

Cell: 3.9405 6.8447 6.8447 Å, 109.24 90.00 90.00°
Fractional positions:
As 0.0000 0.0000 0.5000
Sc 0.0000 0.2697 0.2697
Sc 0.5000 0.2590 0.7410
As 0.5000 0.5000 0.5000
Sc 0.5000 0.7410 0.2590
Sc 0.0000 0.7303 0.7303
Te 0.5000 0.0000 0.0000
As 0.0000 0.5000 0.0000

Calculated values
Volume   21.8 Å³ per atom
Fermi-level density of states   1.80 states/eV/cell
M_tot   0.00 μB/f.u.
Total energy   -53.133 eV for the cell shown
Formation energy (no corrections)   -1340 meV per atom

---

[4]
Entry from Alexandria: Sc3TeAs after structural relaxation (PBE-GGA).

Cell: 3.9858 6.5358 8.7788 Å, 96.03 90.00 90.00°
Fractional positions:
Te 0.2500 0.7945 0.8509
Te 0.7500 0.2055 0.1491
Sc 0.2500 0.9826 0.3303
Sc 0.2500 0.4771 0.3278
Sc 0.7500 0.5229 0.6722
Sc 0.7500 0.6817 0.0856
Sc 0.7500 0.0174 0.6697
Sc 0.2500 0.3183 0.9144
As 0.2500 0.2602 0.5831
As 0.7500 0.7398 0.4169

Calculated values
Volume   22.7 Å³ per atom
Fermi-level density of states   8.87 states/eV/cell
M_tot   0.00 μB/f.u.
Total energy   -63.846 eV for the cell shown
Formation energy (no corrections)   -1027 meV per atom
E above lowest polymorph   0.0 meV per atom

---

[5]
Entry from Alexandria: Sc4Te3As after structural relaxation (PBE-GGA).

Cell: 4.0617 7.1320 7.1320 Å, 109.05 90.00 90.00°
Fractional positions:
Te 0.0000 0.5000 0.0000
As 0.5000 0.0000 0.0000
Sc 0.5000 0.2299 0.7701
Sc 0.0000 0.2186 0.2186
Sc 0.5000 0.7701 0.2299
Te 0.0000 0.0000 0.5000
Te 0.5000 0.5000 0.5000
Sc 0.0000 0.7814 0.7814

Calculated values
Volume   24.4 Å³ per atom
Fermi-level density of states   4.46 states/eV/cell
M_tot   0.00 μB/f.u.
Total energy   -49.129 eV for the cell shown
Formation energy (no corrections)   -1216 meV per atom

---

[6]
Entry from Alexandria: Sc6TeAs5 after structural relaxation (PBE-GGA).

Cell: 6.8015 6.8073 6.7959 Å, 59.94 80.37 70.48°
Fractional positions:
Sc 0.7398 0.0870 0.3506
As 0.0000 0.3323 0.3353
Sc 0.7436 0.7348 0.0000
As 0.5000 0.5000 0.0000
Sc 0.7398 0.4376 0.6494
As 0.5000 0.1610 0.6781
Sc 0.2602 0.5624 0.3506
As 0.0000 0.6677 0.6647
Sc 0.2564 0.2652 0.0000
Sc 0.2602 0.9130 0.6494
Te 0.0000 0.0000 0.0000
As 0.5000 0.8390 0.3219

Calculated values
Volume   21.4 Å³ per atom
Fermi-level density of states   2.68 states/eV/cell
M_tot   0.00 μB/f.u.
Total energy   -80.712 eV for the cell shown
Formation energy (no corrections)   -1361 meV per atom

---

[7]
Entry from Alexandria: Sc2TeAs2 after structural relaxation (PBE-GGA).

Cell: 5.0882 5.0882 5.7317 Å, 63.65 63.65 90.00°
Fractional positions:
As 0.3614 0.3614 0.2771
Te 0.0000 0.0000 0.0000
As 0.6386 0.6386 0.7229
Sc 0.2500 0.7500 0.5000
Sc 0.7500 0.2500 0.5000

Calculated values
Volume   23.1 Å³ per atom
Fermi-level density of states   0.00 states/eV/cell
M_tot   0.00 μB/f.u.
Total energy   -29.918 eV for the cell shown
Formation energy (no corrections)   -963 meV per atom
E above lowest polymorph   0.0 meV per atom

---

[8]
Entry from Alexandria: ThScTeAs after structural relaxation (PBE-GGA).

Cell: 4.0812 4.0825 7.7212 Å, 90.00 105.31 120.01°
Fractional positions:
Te 0.9815 0.3887 0.3853
As 0.2884 0.5421 0.8459
Th 0.1124 0.9542 0.0816
Sc 0.4957 0.1457 0.6569

Calculated values
Volume   26.5 Å³ per atom
Fermi-level density of states   1.35 states/eV/cell
M_tot   0.00 μB/f.u.
Total energy   -26.488 eV for the cell shown
Formation energy (no corrections)   -1236 meV per atom

---

[9]
Entry from Alexandria: Sc6TlTe3As2 after structural relaxation (PBE-GGA).

Cell: 4.0123 8.2811 9.1168 Å, 103.29 102.71 90.00°
Fractional positions:
Te 0.1641 0.8329 0.3283
Sc 0.3244 0.4337 0.6488
As 0.8317 0.6624 0.6634
Tl 0.5000 0.0000 0.0000
Sc 0.3322 0.8891 0.6645
Sc 0.6678 0.1109 0.3355
Sc 0.9902 0.7458 0.9804
Sc 0.0098 0.2542 0.0196
Te 0.8359 0.1671 0.6717
Sc 0.6756 0.5663 0.3512
As 0.1683 0.3376 0.3366
Te 0.5000 0.5000 0.0000

Calculated values
Volume   23.9 Å³ per atom
Fermi-level density of states   4.96 states/eV/cell
M_tot   0.00 μB/f.u.
Total energy   -71.992 eV for the cell shown
Formation energy (no corrections)   -1076 meV per atom

---

[10]
Entry from Alexandria: Sc2TeAsW after structural relaxation (PBE-GGA).

Cell: 5.0631 4.6505 5.0631 Å, 90.00 90.00 90.00°
Fractional positions:
As 0.0000 0.0000 0.0000
W 0.0000 0.5000 0.0000
Te 0.5000 0.5000 0.5000
Sc 0.5000 0.0000 0.0000
Sc 0.0000 0.0000 0.5000

Calculated values
Volume   23.8 Å³ per atom
Fermi-level density of states   7.40 states/eV/cell
M_tot   0.00 μB/f.u.
Total energy   -32.580 eV for the cell shown
Formation energy (no corrections)   166 meV per atom

---

[11]
Entry from Alexandria: YScTeAs after structural relaxation (PBE-GGA).

Cell: 4.0486 4.0487 7.4458 Å, 90.00 105.78 120.00°
Fractional positions:
Sc 0.1116 0.9537 0.0806
Te 0.9584 0.3772 0.3509
Y 0.4911 0.1435 0.6499
As 0.3168 0.5563 0.8883

Calculated values
Volume   25.1 Å³ per atom
Fermi-level density of states   2.80 states/eV/cell
M_tot   0.00 μB/f.u.
Total energy   -26.148 eV for the cell shown
Formation energy (no corrections)   -1390 meV per atom

---

[12]
Entry from Alexandria: ThSc3As3 after structural relaxation (PBE-GGA).

Cell: 7.7725 7.7725 8.2108 Å, 61.75 61.75 60.00°
Fractional positions:
Th 0.3331 0.3331 0.0008
Sc 0.1833 0.8797 0.3485
As 0.4420 0.0812 0.7524
Sc 0.4116 0.8167 0.6515
As 0.5580 0.9188 0.2476
Sc 0.8167 0.1203 0.6515
As 0.7244 0.4420 0.7524
As 0.0812 0.7244 0.7524
As 0.2756 0.5580 0.2476
Sc 0.8797 0.5884 0.3485
As 0.9188 0.2756 0.2476
Sc 0.1203 0.4116 0.6515
Th 0.6669 0.6669 0.9992
Sc 0.5884 0.1833 0.3485

Calculated values
ΔH_f (0 K)   -987 meV/atom
Volume   25.7 Å³ per atom
Fermi-level density of states   10.54 states/eV/cell
M_tot   0.00 μB/f.u.
Total energy   -94.544 eV for the cell shown

---

[13]
Entry from Alexandria: Th5Sc3As8 after structural relaxation (PBE-GGA).

Cell: 8.2938 8.2938 8.2336 Å, 59.76 59.76 60.00°
Fractional positions:
Th 0.0000 0.0000 0.0000
As 0.7662 0.2500 0.7339
Sc 0.0000 0.5000 0.5000
Th 0.5000 0.5000 0.0000
As 0.2500 0.2500 0.7339
Th 0.5000 0.5000 0.5000
As 0.2338 0.7500 0.2661
As 0.2500 0.7662 0.7339
Th 0.5000 0.0000 0.0000
As 0.2427 0.2427 0.2719
As 0.7500 0.7500 0.2661
Sc 0.0000 0.0000 0.5000
As 0.7573 0.7573 0.7281
Th 0.0000 0.5000 0.0000
As 0.7500 0.2338 0.2661
Sc 0.5000 0.0000 0.5000

Calculated values
ΔH_f (0 K)   -1354 meV/atom
Volume   24.9 Å³ per atom
Fermi-level density of states   7.66 states/eV/cell
M_tot   0.00 μB/f.u.
Total energy   -114.955 eV for the cell shown

---

[14]
Entry from Alexandria: ThSc5As6 after structural relaxation (PBE-GGA).

Cell: 6.8618 6.8540 6.8502 Å, 59.98 80.34 70.41°
Fractional positions:
As 0.7404 0.0866 0.3467
Sc 0.0000 0.3324 0.3352
Sc 0.5000 0.1627 0.6746
Sc 0.5000 0.8373 0.3254
As 0.2558 0.2617 0.0000
Sc 0.5000 0.5000 0.0000
Sc 0.0000 0.6676 0.6648
Th 0.0000 0.0000 0.0000
As 0.2596 0.9134 0.6533
As 0.2596 0.5667 0.3467
As 0.7442 0.7383 0.0000
As 0.7404 0.4333 0.6533

Calculated values
ΔH_f (0 K)   -1368 meV/atom
Volume   21.9 Å³ per atom
Fermi-level density of states   2.94 states/eV/cell
M_tot   0.00 μB/f.u.
Total energy   -83.394 eV for the cell shown

---

[15]
Entry from Alexandria: Th3ScAs4 after structural relaxation (PBE-GGA).

Cell: 7.2507 7.2274 8.3418 Å, 90.00 90.00 109.33°
Fractional positions:
As 0.4912 0.2421 0.3668
As 0.4993 0.7655 0.1163
Sc 0.2500 0.0000 0.1234
Th 0.2500 0.5000 0.8759
As 0.9993 0.7655 0.8837
As 0.5088 0.7579 0.6332
Sc 0.7500 0.0000 0.8766
Th 0.7500 0.5000 0.1241
As 0.0088 0.7579 0.3668
Th 0.7500 0.5000 0.6268
Th 0.7500 0.0000 0.3727
As 0.5007 0.2345 0.8837
Th 0.2500 0.0000 0.6273
Th 0.2500 0.5000 0.3732
As 0.0007 0.2345 0.1163
As 0.9912 0.2421 0.6332

Calculated values
ΔH_f (0 K)   -1361 meV/atom
Volume   25.8 Å³ per atom
Fermi-level density of states   7.01 states/eV/cell
M_tot   0.00 μB/f.u.
Total energy   -116.151 eV for the cell shown

---

[16]
Entry from Alexandria: Tm2ThScAs4 after structural relaxation (PBE-GGA).

Cell: 4.0908 7.0714 7.0410 Å, 70.53 90.00 90.00°
Fractional positions:
As 0.5000 0.7471 0.2607
Tm 0.5000 0.0000 0.5000
Tm 0.0000 0.0000 0.0000
Sc 0.0000 0.5000 0.5000
As 0.0000 0.7552 0.7377
Th 0.5000 0.5000 0.0000
As 0.5000 0.2529 0.7393
As 0.0000 0.2448 0.2623

Calculated values
ΔH_f (0 K)   -1430 meV/atom
Volume   24.0 Å³ per atom
Fermi-level density of states   1.54 states/eV/cell
M_tot   0.00 μB/f.u.
Total energy   -52.732 eV for the cell shown

---

[17]
Entry from Alexandria: Tm3Th2ScAs6 after structural relaxation (PBE-GGA).

Cell: 4.1223 8.2033 9.1826 Å, 102.98 102.97 90.00°
Fractional positions:
As 0.6645 0.5897 0.3291
Th 0.1634 0.3280 0.3267
As 0.3355 0.4103 0.6709
Tm 0.8325 0.1655 0.6650
As 0.3367 0.9283 0.6734
Tm 0.5000 0.5000 0.0000
As 0.0042 0.7591 0.0083
Tm 0.1675 0.8345 0.3350
Sc 0.5000 0.0000 0.0000
Th 0.8366 0.6720 0.6733
As 0.6633 0.0717 0.3266
As 0.9958 0.2409 0.9917

Calculated values
ΔH_f (0 K)   -1430 meV/atom
Volume   24.5 Å³ per atom
Fermi-level density of states   3.94 states/eV/cell
M_tot   0.00 μB/f.u.
Total energy   -79.639 eV for the cell shown

---

[18]
Entry from Alexandria: YThSc2As4 after structural relaxation (PBE-GGA).

Cell: 4.0615 6.9654 7.0170 Å, 70.39 90.00 90.00°
Fractional positions:
Sc 0.0000 0.0000 0.0000
As 0.0000 0.2287 0.2610
Th 0.5000 0.5000 0.0000
As 0.5000 0.2323 0.7527
As 0.0000 0.7713 0.7390
Sc 0.5000 0.0000 0.5000
As 0.5000 0.7677 0.2473
Y 0.0000 0.5000 0.5000

Calculated values
ΔH_f (0 K)   -1423 meV/atom
Volume   23.4 Å³ per atom
Fermi-level density of states   1.66 states/eV/cell
M_tot   0.00 μB/f.u.
Total energy   -56.526 eV for the cell shown

---

[19]
Entry from Alexandria: YTh2ScAs4 after structural relaxation (PBE-GGA).

Cell: 4.1599 7.1066 7.2018 Å, 70.18 90.00 90.00°
Fractional positions:
Th 0.0000 0.0000 0.0000
As 0.5000 0.2631 0.7515
As 0.0000 0.7324 0.7620
As 0.0000 0.2676 0.2380
Th 0.5000 0.0000 0.5000
As 0.5000 0.7369 0.2485
Sc 0.5000 0.5000 0.0000
Y 0.0000 0.5000 0.5000

Calculated values
ΔH_f (0 K)   -1414 meV/atom
Volume   25.0 Å³ per atom
Fermi-level density of states   3.80 states/eV/cell
M_tot   0.00 μB/f.u.
Total energy   -57.543 eV for the cell shown

---

[20]
Entry from Alexandria: Y2ThScAs4 after structural relaxation (PBE-GGA).

Cell: 4.1220 7.1296 7.0910 Å, 70.54 90.00 90.00°
Fractional positions:
Th 0.5000 0.5000 0.0000
As 0.5000 0.7425 0.2621
As 0.0000 0.7505 0.7394
Y 0.5000 0.0000 0.5000
As 0.5000 0.2575 0.7379
As 0.0000 0.2495 0.2606
Y 0.0000 0.0000 0.0000
Sc 0.0000 0.5000 0.5000

Calculated values
ΔH_f (0 K)   -1459 meV/atom
Volume   24.6 Å³ per atom
Fermi-level density of states   1.58 states/eV/cell
M_tot   0.00 μB/f.u.
Total energy   -56.947 eV for the cell shown